Record 1
Here is an optimized crystal structure of CaSm3Re from Alexandria via LeMat-Bulk. Energies are from GGA-PBE.

E_form ... 0.22 eV per atom

Unit cell a=5.5868 b=5.5868 c=5.5868 alpha=90.00 beta=90.00 gamma=90.00
Space group Pm-3m (No. 221)
Unique sites:
1 Ca 0.0000 0.0000 0.0000 [1 per cell]
2 Sm 0.0000 0.5000 0.5000 [3 per cell]
3 Re 0.5000 0.5000 0.5000 [1 per cell]

---

Record 2
Here is an optimized crystal structure of CaTbPm14 from Alexandria via LeMat-Bulk. Energies are from GGA-PBE.

E_form ... 0.03 eV per atom

Unit cell a=7.3258 b=7.3258 c=10.2919 alpha=90.00 beta=90.00 gamma=90.00
Space group P4/mmm (No. 123)
Unique sites:
1 Ca 0.0000 0.0000 0.0000 [1 per cell]
2 Tb 0.5000 0.5000 0.0000 [1 per cell]
3 Pm 0.0000 0.0000 0.5000 [1 per cell]
4 Pm 0.0000 0.5000 0.0000 [2 per cell]
5 Pm 0.0000 0.5000 0.5000 [2 per cell]
6 Pm 0.2539 0.2539 0.2522 [8 per cell]
7 Pm 0.5000 0.5000 0.5000 [1 per cell]

---

Record 3
Here is an optimized crystal structure of SrLi2P2O7 from Alexandria via LeMat-Bulk. Energies are from GGA-PBE.

ΔE_f (raw) ... -2.516 eV/atom

Unit cell a=5.3026 b=5.3026 c=21.7242 alpha=90.00 beta=90.00 gamma=120.00
Space group R32 (No. 155, hexagonal axes)
Unique sites:
1 Sr 0.0000 0.0000 0.0000 [3 per cell]
2 Li 0.0000 0.0000 0.2441 [6 per cell]
3 P 0.0000 0.0000 0.4262 [6 per cell]
4 O 0.0000 0.0000 0.5000 [3 per cell]
5 O 0.0210 0.2875 0.4064 [18 per cell]

---

Record 4
Here is an optimized crystal structure of TcPBr from Alexandria via LeMat-Bulk. Energies are from GGA-PBE.

ΔE_f (raw) ... 0.379 eV/atom

Unit cell a=6.0028 b=6.0028 c=6.0028 alpha=90.00 beta=90.00 gamma=90.00
Space group F-43m (No. 216)
Unique sites:
1 Tc 0.0000 0.0000 0.0000 [4 per cell]
2 P 0.2500 0.2500 0.2500 [4 per cell]
3 Br 0.2500 0.2500 0.7500 [4 per cell]

---

Record 5
Here is an optimized crystal structure of Ac2LaPm4Tm from Alexandria via LeMat-Bulk. Energies are from GGA-PBE.

E_form ... 0.38 eV per atom

Unit cell a=14.1015 b=13.7881 c=7.1465 alpha=90.00 beta=120.36 gamma=90.00
Space group C2/c (No. 15)
Unique sites:
1 Ac 0.0000 0.0000 0.0000 [4 per cell]
2 Ac 0.2500 0.2500 0.0000 [4 per cell]
3 La 0.0000 0.5000 0.0000 [4 per cell]
4 Pm 0.9996 0.2605 0.0161 [8 per cell]
5 Pm 0.2374 0.4888 0.4911 [8 per cell]
6 Tm 0.2500 0.2500 0.5000 [4 per cell]

---

Record 6
Here is an optimized crystal structure of BiPtPb2 from Alexandria via LeMat-Bulk. Energies are from GGA-PBE.

E_form ... 0.15 eV per atom

Unit cell a=6.5019 b=6.5019 c=13.9446 alpha=90.00 beta=90.00 gamma=90.00
Space group I-42d (No. 122)
Unique sites:
1 Bi 0.0000 0.0000 0.0000 [4 per cell]
2 Pt 0.0000 0.0000 0.5000 [4 per cell]
3 Pb 0.1953 0.2500 0.6250 [8 per cell]

---

Record 7
Here is an optimized crystal structure of Mg3InGa from Alexandria via LeMat-Bulk. Energies are from GGA-PBE.

E_form ... 0.13 eV per atom

Unit cell a=5.0934 b=5.0934 c=5.0934 alpha=90.00 beta=90.00 gamma=90.00
Space group Pm-3m (No. 221)
Unique sites:
1 Mg 0.0000 0.0000 0.5000 [3 per cell]
2 In 0.5000 0.5000 0.5000 [1 per cell]
3 Ga 0.0000 0.0000 0.0000 [1 per cell]

---

Record 8
Here is an optimized crystal structure of NaAsC3 from Alexandria via LeMat-Bulk. Energies are from GGA-PBE.

E_form ... 2.40 eV per atom

Unit cell a=4.0198 b=4.0198 c=4.0198 alpha=90.00 beta=90.00 gamma=90.00
Space group Pm-3m (No. 221)
Unique sites:
1 Na 0.0000 0.0000 0.0000 [1 per cell]
2 As 0.5000 0.5000 0.5000 [1 per cell]
3 C 0.0000 0.5000 0.5000 [3 per cell]

---

Number 1: Fermi-level density of states 4.03 states/eV/cell. Number 2: Fermi-level density of states 22.08 states/eV/cell. Number 3: Fermi-level density of states 0.00 states/eV/cell. Number 4: Fermi-level density of states 14.90 states/eV/cell. Number 5: Fermi-level density of states 73.43 states/eV/cell. Number 6: Fermi-level density of states 8.25 states/eV/cell. Number 7: Fermi-level density of states 2.42 states/eV/cell. Number 8: Fermi-level density of states 1.47 states/eV/cell.